Record 1
A plane-wave DFT calculation with PBE-GGA was carried out for crystalline Tb6PmMg at its relaxed geometry.

Summary:
Space group ... No. 12
ΔE to the lowest computed polymorph ... 0.02 eV/f.u.
Total moment ... 0.0 μB/f.u.
Energy of formation ... 0.20 eV/f.u.

Lattice parameters (Å, degrees): 6.123 6.123 9.933 113.88 113.88 48.41
Element x y z (fractional)
Tb (0.003, 0.003, 0.249)
Tb (0.251, 0.251, 0.629)
Tb (0.255, 0.255, 0.123)
Tb (0.745, 0.745, 0.877)
Tb (0.749, 0.749, 0.371)
Tb (0.997, 0.997, 0.751)
Pm (0.500, 0.500, 0.500)
Mg (0.500, 0.500, 0.000)

***

Record 2
A plane-wave DFT calculation with PBE-GGA was carried out for crystalline BaLiTlCl6 at its relaxed geometry.

Summary:
Space group ... No. 149
E ... -3.45 eV/atom
Total moment ... 0.0 μB/f.u.

Lattice parameters (Å, degrees): 6.779 6.779 6.718 90.00 90.00 120.00
Element x y z (fractional)
Ba (0.000, 0.000, 0.000)
Li (0.333, 0.667, 0.500)
Tl (0.667, 0.333, 0.500)
Cl (0.004, 0.372, 0.723)
Cl (0.004, 0.632, 0.277)
Cl (0.368, 0.372, 0.277)
Cl (0.368, 0.996, 0.723)
Cl (0.628, 0.632, 0.723)
Cl (0.628, 0.996, 0.277)

***

Record 3
A plane-wave DFT calculation with PBE-GGA was carried out for crystalline SrSe3Cl at its relaxed geometry.

Summary:
Space group ... No. 221
ΔE to the lowest computed polymorph ... 0.00 eV/f.u.
Total moment ... 0.0 μB/f.u.

Lattice parameters (Å, degrees): 5.102 5.102 5.102 90.00 90.00 90.00
Element x y z (fractional)
Sr (0.000, 0.000, 0.000)
Se (0.000, 0.500, 0.500)
Se (0.500, 0.000, 0.500)
Se (0.500, 0.500, 0.000)
Cl (0.500, 0.500, 0.500)